No. 1
Compound: BiAsPd
Source: OQMD
Functional: PBE
Structure: relaxed

Output
As for the space group: P2_13. Its total energy is -4.860 eV/atom. The value obtained for the relative energy among the computed polymorphs is 0.000 eV/atom.

a = 6.4217 Å, b = 6.4217 Å, c = 6.4217 Å
α = 90.00°, β = 90.00°, γ = 90.00°
With the nearest neighbours (Å) after each atom.
Atoms (fractional coordinates):
Pd 0.0198 0.5198 0.9802  3 As 2.55, 3 Bi 2.79
Pd 0.4802 0.4802 0.4802  3 As 2.55, 3 Bi 2.79
Pd 0.9802 0.0198 0.5198  3 As 2.55, 3 Bi 2.79
Pd 0.5198 0.9802 0.0198  3 As 2.55, 3 Bi 2.79
As 0.6282 0.1282 0.3718  3 Pd 2.55, 1 Bi 2.80
As 0.8718 0.8718 0.8718  3 Pd 2.55, 1 Bi 2.80
As 0.3718 0.6282 0.1282  3 Pd 2.55, 1 Bi 2.80
As 0.1282 0.3718 0.6282  3 Pd 2.55, 1 Bi 2.80
Bi 0.3768 0.8768 0.6232  3 Pd 2.79, 1 As 2.80
Bi 0.1232 0.1232 0.1232  3 Pd 2.79, 1 As 2.80
Bi 0.6232 0.3768 0.8768  3 Pd 2.79, 1 As 2.80
Bi 0.8768 0.6232 0.3768  3 Pd 2.79, 1 As 2.80

No. 2
Compound: TmMgNO
Source: OQMD
Functional: PBE
Structure: relaxed

Output
As for the space group: Pmc2_1. Its total energy is -6.963 eV/atom. The value obtained for the relative energy among the computed polymorphs is 0.020 eV/atom.

a = 3.8420 Å, b = 4.6923 Å, c = 6.1084 Å
α = 90.00°, β = 90.00°, γ = 90.00°
With the nearest neighbours (Å) after each atom.
Atoms (fractional coordinates):
Tm 0.0000 0.4428 0.3144  2 O 2.16, 3 N 2.24-2.37
Tm 0.0000 0.9428 0.6856  2 O 2.16, 3 N 2.24-2.37
Mg 0.5000 0.9549 0.1737  2 O 2.00-2.18, 2 N 2.12
Mg 0.5000 0.4549 0.8263  2 O 2.00-2.18, 2 N 2.12
N 0.0000 0.4371 0.6810  2 Mg 2.12, 2 Tm 2.24-2.32
N 0.0000 0.9371 0.3190  2 Mg 2.12, 2 Tm 2.24-2.32
O 0.5000 0.4192 0.1528  2 Mg 2.00-2.18, 2 Tm 2.16
O 0.5000 0.9192 0.8472  2 Mg 2.00-2.18, 2 Tm 2.16

No. 3
Compound: LiZnNiB
Source: OQMD
Functional: PBE
Structure: relaxed

Output
As for the space group: F-43m. Its total energy is -3.748 eV/atom. The value obtained for the relative energy among the computed polymorphs is 0.000 eV/atom.

a = 3.8049 Å, b = 3.8049 Å, c = 3.8049 Å
α = 60.00°, β = 60.00°, γ = 60.00°
With the nearest neighbours (Å) after each atom.
Atoms (fractional coordinates):
Li 0.7500 0.7500 0.7500  4 Ni 2.33, 4 Zn 2.33
Ni 0.5000 0.5000 0.5000  4 Li 2.33, 4 B 2.33
Zn 0.0000 0.0000 0.0000  4 Li 2.33, 4 B 2.33
B 0.2500 0.2500 0.2500  4 Zn 2.33, 4 Ni 2.33

No. 4
Compound: CuH8C12IN4
Source: OQMD
Functional: PBE
Structure: relaxed

Output
As for the space group: P-1. Its total energy is -6.697 eV/atom. The value obtained for the relative energy among the computed polymorphs is 0.000 eV/atom.

a = 8.0790 Å, b = 8.8050 Å, c = 9.3862 Å
α = 91.17°, β = 95.47°, γ = 109.07°
With the nearest neighbours (Å) after each atom.
Atoms (fractional coordinates):
H 0.4747 0.7780 0.6978  1 C 1.09
H 0.2115 0.7943 0.0660  1 C 1.09
H 0.7885 0.2057 0.9340  1 C 1.09
H 0.4565 0.7170 0.3425  1 C 1.09
H 0.9320 0.8354 0.1386  1 C 1.09
H 0.2093 0.1583 0.3566  1 C 1.09
H 0.1909 0.6269 0.8458  1 C 1.09
H 0.8091 0.3731 0.1542  1 C 1.09
H 0.5435 0.2830 0.6575  1 C 1.09
H 0.7907 0.8417 0.6434  1 C 1.09
H 0.6557 0.5449 0.7577  1 C 1.09
H 0.0680 0.1646 0.8614  1 C 1.09
H 0.0350 0.8747 0.3967  1 C 1.09
H 0.5253 0.2220 0.3022  1 C 1.09
H 0.9650 0.1253 0.6033  1 C 1.09
H 0.3443 0.4551 0.2423  1 C 1.09
Cu 0.0814 0.5541 0.3871  2 N 2.03
Cu 0.9186 0.4459 0.6129  2 N 2.03
C 0.6137 0.7058 0.9899  1 N 1.17
C 0.8286 0.0930 0.6268  1 H 1.09
C 0.7744 0.6896 0.9546  3 C 1.40-1.42
C 0.3121 0.0013 0.7135  1 N 1.17
C 0.1714 0.9070 0.3732  1 H 1.09
C 0.2256 0.3104 0.0454  3 C 1.40-1.42
C 0.9322 0.7632 0.0430  1 H 1.09
C 0.5108 0.9721 0.3136  3 C 1.40-1.42
C 0.0746 0.6486 0.8791  1 H 1.09
C 0.4423 0.0994 0.3182  1 H 1.09
C 0.7761 0.6003 0.8297  1 H 1.09
C 0.0678 0.2368 0.9570  1 H 1.09
C 0.2691 0.0646 0.3487  1 H 1.09
C 0.4892 0.0279 0.6864  3 C 1.40-1.42
C 0.9158 0.2587 0.9968  1 H 1.09
C 0.4044 0.8168 0.3414  1 H 1.09
C 0.9254 0.3514 0.1209  1 H 1.09
C 0.0842 0.7413 0.0032  1 H 1.09
C 0.3863 0.2942 0.0101  1 N 1.17
C 0.5577 0.9006 0.6818  1 H 1.09
C 0.5956 0.1832 0.6586  1 H 1.09
C 0.6879 0.9987 0.2865  1 N 1.17
C 0.2239 0.3997 0.1703  1 H 1.09
C 0.7309 0.9354 0.6513  1 H 1.09
N 0.9240 0.5802 0.7922  2 C 1.34-1.35
N 0.2369 0.7843 0.3698  2 C 1.34-1.35
N 0.7631 0.2157 0.6302  2 C 1.34-1.35
N 0.8342 0.0198 0.2669  1 C 1.17
N 0.4813 0.7198 0.0177  1 C 1.17
N 0.0760 0.4198 0.2078  2 C 1.34-1.35
N 0.1658 0.9802 0.7331  1 C 1.17
N 0.5187 0.2802 0.9823  1 C 1.17
I 0.7559 0.5577 0.4035  2 Cu 2.64-2.66
I 0.2441 0.4423 0.5965  2 Cu 2.64-2.66

No. 5
Compound: SrZnGe2Pd
Source: OQMD
Functional: PBE
Structure: relaxed

Output
As for the space group: I-4m2. Its total energy is -4.033 eV/atom.

a = 6.1610 Å, b = 6.1610 Å, c = 6.1610 Å
α = 138.51°, β = 138.51°, γ = 60.13°
With the nearest neighbours (Å) after each atom.
Atoms (fractional coordinates):
Sr 0.0000 0.0000 0.0000  8 Ge 3.35, 4 Pd 3.45, 4 Zn 3.45
Pd 0.7500 0.2500 0.5000  4 Ge 2.58
Ge 0.3790 0.3790 0.0000  1 Ge 2.58, 2 Pd 2.58, 2 Zn 2.58
Ge 0.6210 0.6210 0.0000  1 Ge 2.58, 2 Pd 2.58, 2 Zn 2.58
Zn 0.2500 0.7500 0.5000  4 Ge 2.58

No. 6
Compound: Li5Cd2
Source: OQMD
Functional: PBE
Structure: relaxed

Output
As for the space group: P4_12_12. Its total energy is -1.754 eV/atom.

a = 9.8714 Å, b = 9.8714 Å, c = 9.7695 Å
α = 90.00°, β = 90.00°, γ = 90.00°
With the nearest neighbours (Å) after each atom.
Atoms (fractional coordinates):
Cd 0.1680 0.3886 0.4054  9 Li 2.68-2.96
Cd 0.1114 0.6680 0.6554  9 Li 2.68-2.96
Cd 0.5224 0.7201 0.5459  8 Li 2.64-2.93, 1 Cd 2.90
Cd 0.2201 0.9776 0.2959  8 Li 2.64-2.93, 1 Cd 2.90
Cd 0.6114 0.8320 0.0946  9 Li 2.68-2.96
Cd 0.8886 0.3320 0.1554  9 Li 2.68-2.96
Cd 0.0224 0.7799 0.2041  8 Li 2.64-2.93, 1 Cd 2.90
Cd 0.7201 0.5224 0.4541  8 Li 2.64-2.93, 1 Cd 2.90
Cd 0.8320 0.6114 0.9054  9 Li 2.68-2.96
Cd 0.3320 0.8886 0.8446  9 Li 2.68-2.96
Cd 0.7799 0.0224 0.7959  8 Li 2.64-2.93, 1 Cd 2.90
Cd 0.4776 0.2799 0.0459  8 Li 2.64-2.93, 1 Cd 2.90
Cd 0.6680 0.1114 0.3446  9 Li 2.68-2.96
Cd 0.3886 0.1680 0.5946  9 Li 2.68-2.96
Cd 0.2799 0.4776 0.9541  8 Li 2.64-2.93, 1 Cd 2.90
Cd 0.9776 0.2201 0.7041  8 Li 2.64-2.93, 1 Cd 2.90
Li 0.1324 0.1324 0.5000  4 Cd 2.66-2.72, 4 Li 2.92-2.95
Li 0.8004 0.6039 0.1777  4 Cd 2.68-2.93, 6 Li 2.80-2.97
Li 0.1745 0.2423 0.1487  7 Li 2.80-3.10, 3 Cd 2.89-3.02
Li 0.8255 0.7577 0.6487  7 Li 2.80-3.10, 3 Cd 2.89-3.02
Li 0.1039 0.6996 0.9277  4 Cd 2.68-2.93, 6 Li 2.80-2.97
Li 0.9123 0.4758 0.6614  4 Cd 2.64-2.85, 6 Li 2.75-2.95
Li 0.0877 0.5242 0.1614  4 Cd 2.64-2.85, 6 Li 2.75-2.95
Li 0.3255 0.7423 0.1013  7 Li 2.80-3.10, 3 Cd 2.89-3.02
Li 0.6996 0.1039 0.0723  4 Cd 2.68-2.93, 6 Li 2.80-2.97
Li 0.8676 0.8676 0.0000  4 Cd 2.66-2.72, 4 Li 2.92-2.95
Li 0.6324 0.3676 0.2500  4 Cd 2.66-2.72, 4 Li 2.92-2.95
Li 0.5242 0.0877 0.8386  4 Cd 2.64-2.85, 6 Li 2.75-2.95
Li 0.5355 0.6450 0.2818  6 Li 2.60-2.91, 3 Cd 2.69-2.76
Li 0.4400 0.4400 0.5000  4 Cd 2.88-2.92, 10 Li 2.89-3.18
Li 0.6039 0.8004 0.8223  4 Cd 2.68-2.93, 6 Li 2.80-2.97
Li 0.3550 0.4645 0.2182  6 Li 2.60-2.91, 3 Cd 2.69-2.76
Li 0.8550 0.0355 0.5318  6 Li 2.60-2.91, 3 Cd 2.69-2.76
Li 0.3961 0.1996 0.3223  4 Cd 2.68-2.93, 6 Li 2.80-2.97
Li 0.4758 0.9123 0.3386  4 Cd 2.64-2.85, 6 Li 2.75-2.95
Li 0.3676 0.6324 0.7500  4 Cd 2.66-2.72, 4 Li 2.92-2.95
Li 0.0355 0.8550 0.4682  6 Li 2.60-2.91, 3 Cd 2.69-2.76
Li 0.9758 0.5877 0.4114  4 Cd 2.64-2.85, 6 Li 2.75-2.95
Li 0.3004 0.8961 0.5723  4 Cd 2.68-2.93, 6 Li 2.80-2.97
Li 0.4123 0.0242 0.0886  4 Cd 2.64-2.85, 6 Li 2.75-2.95
Li 0.0600 0.9400 0.7500  4 Cd 2.88-2.92, 10 Li 2.89-3.18
Li 0.9645 0.1450 0.9682  6 Li 2.60-2.91, 3 Cd 2.69-2.76
Li 0.7423 0.3255 0.8987  7 Li 2.80-3.10, 3 Cd 2.89-3.02
Li 0.7577 0.8255 0.3513  7 Li 2.80-3.10, 3 Cd 2.89-3.02
Li 0.6745 0.2577 0.6013  7 Li 2.80-3.10, 3 Cd 2.89-3.02
Li 0.4645 0.3550 0.7818  6 Li 2.60-2.91, 3 Cd 2.69-2.76
Li 0.2577 0.6745 0.3987  7 Li 2.80-3.10, 3 Cd 2.89-3.02
Li 0.0242 0.4123 0.9114  4 Cd 2.64-2.85, 6 Li 2.75-2.95
Li 0.6450 0.5355 0.7182  6 Li 2.60-2.91, 3 Cd 2.69-2.76
Li 0.8961 0.3004 0.4277  4 Cd 2.68-2.93, 6 Li 2.80-2.97
Li 0.5877 0.9758 0.5886  4 Cd 2.64-2.85, 6 Li 2.75-2.95
Li 0.5600 0.5600 0.0000  4 Cd 2.88-2.92, 10 Li 2.89-3.18
Li 0.1450 0.9645 0.0318  6 Li 2.60-2.91, 3 Cd 2.69-2.76
Li 0.9400 0.0600 0.2500  4 Cd 2.88-2.92, 10 Li 2.89-3.18
Li 0.2423 0.1745 0.8513  7 Li 2.80-3.10, 3 Cd 2.89-3.02
Li 0.1996 0.3961 0.6777  4 Cd 2.68-2.93, 6 Li 2.80-2.97

No. 7
Compound: HfNpTe
Source: OQMD
Functional: PBE
Structure: relaxed

Output
As for the space group: F-43m. Its total energy is -8.284 eV/atom.

a = 4.8759 Å, b = 4.8759 Å, c = 4.8759 Å
α = 60.00°, β = 60.00°, γ = 60.00°
With the nearest neighbours (Å) after each atom.
Atoms (fractional coordinates):
Hf 0.2500 0.2500 0.2500  4 Te 2.99
Te 0.0000 0.0000 0.0000  4 Hf 2.99, 4 Np 2.99
Np 0.7500 0.7500 0.7500  4 Te 2.99

No. 8
Compound: RbErSeO
Source: OQMD
Functional: PBE
Structure: relaxed

Output
As for the space group: P2_1/c. Its total energy is -5.727 eV/atom. The value obtained for the relative energy among the computed polymorphs is 0.000 eV/atom.

a = 8.0822 Å, b = 7.3832 Å, c = 6.5536 Å
α = 90.00°, β = 100.59°, γ = 90.00°
With the nearest neighbours (Å) after each atom.
Atoms (fractional coordinates):
O 0.5876 0.1468 0.6144  3 Er 2.20-2.26
O 0.5876 0.3532 0.1144  3 Er 2.20-2.26
O 0.4124 0.8532 0.3856  3 Er 2.20-2.26
O 0.4124 0.6468 0.8856  3 Er 2.20-2.26
Se 0.2549 0.0920 0.8695  3 Er 2.87-3.01
Se 0.7451 0.9080 0.1305  3 Er 2.87-3.01
Se 0.7451 0.5920 0.6305  3 Er 2.87-3.01
Se 0.2549 0.4080 0.3695  3 Er 2.87-3.01
Er 0.4787 0.3719 0.7813  3 O 2.20-2.26
Er 0.4787 0.1281 0.2813  3 O 2.20-2.26
Er 0.5213 0.6281 0.2187  3 O 2.20-2.26
Er 0.5213 0.8719 0.7187  3 O 2.20-2.26
Rb 0.0882 0.7856 0.4794  1 O 2.84
Rb 0.0882 0.7144 0.9794  1 O 2.84
Rb 0.9118 0.2144 0.5206  1 O 2.84
Rb 0.9118 0.2856 0.0206  1 O 2.84

Q: Among the records above, which one has the highest total energy?
A: Li5Cd2